Density functional theory data (PBE) for a geometry-optimized TiTe2IrN structure.

```
TiTe2IrN
1.0
-0.760 4.383 3.019
-5.224 -0.032 -1.268
-0.681 -2.089 2.861
N Ir Te Ti
1 1 2 1
direct
0.000 0.000 0.500
0.500 0.500 0.500
0.000 0.500 0.000
0.500 0.000 0.000
0.000 0.000 0.000
```

Values from the calculation:
- distance to the lowest polymorph of the same formula (meV per atom) = 225
- E_form (uncorrected) (eV/f.u.) = 2.65


Density functional theory data (PBE) for a geometry-optimized Tm6BiSe4 structure.

```
Tm6BiSe4
1.0
-0.896 2.597 -2.934
-2.871 -5.991 -1.672
-17.259 5.454 10.098
Tm Bi Se
12 2 8
direct
0.500 0.000 0.000
0.500 0.000 0.500
0.053 0.105 0.337
0.947 0.895 0.663
0.947 0.895 0.837
0.053 0.105 0.163
0.770 0.539 0.405
0.230 0.461 0.595
0.230 0.461 0.905
0.770 0.539 0.095
0.358 0.716 0.250
0.642 0.284 0.750
0.678 0.355 0.250
0.322 0.645 0.750
0.857 0.714 0.536
0.415 0.830 0.122
0.143 0.286 0.464
0.585 0.170 0.878
0.857 0.714 0.964
0.143 0.286 0.036
0.585 0.170 0.622
0.415 0.830 0.378
```

Values from the calculation:
- E_form (uncorrected) (eV/f.u.) = -14.81


Density functional theory data (PBE) for a geometry-optimized PmTmFeNi structure.

```
PmTmFeNi
1.0
-3.222 -0.678 -3.459
0.844 -3.182 -3.459
-2.502 -4.064 -0.169
Ni Tm Fe Pm
1 1 1 1
direct
0.000 0.000 0.000
0.750 0.750 0.750
0.500 0.500 0.500
0.250 0.250 0.250
```

Values from the calculation:
- formation energy (eV per atom) = -0.034


Density functional theory data (PBE) for a geometry-optimized CaMnPb2 structure.

```
CaMnPb2
1.0
-4.704 -1.256 1.273
1.536 -4.673 1.062
0.199 -0.281 10.403
Pb Ca Mn
4 2 2
direct
0.683 0.125 0.250
0.067 0.625 0.250
0.375 0.317 0.750
0.875 0.933 0.750
0.500 0.500 0.000
0.250 0.750 0.500
0.000 0.000 0.000
0.750 0.250 0.500
```

Values from the calculation:
- formation energy (eV per atom) = 0.215


Density functional theory data (PBE) for a geometry-optimized MgPaHgRh structure.

```
MgPaHgRh
1.0
4.917 0.000 0.000
2.458 4.258 0.000
2.458 1.419 4.014
Mg Pa Rh Hg
1 1 1 1
direct
0.750 0.750 0.750
0.250 0.250 0.250
0.000 0.000 0.000
0.500 0.500 0.500
```

Values from the calculation:
- formation energy (eV per atom) = -0.221


Density functional theory data (PBE) for a geometry-optimized La2NiAgBi structure.

```
La2NiAgBi
1.0
-0.148 -3.645 3.950
-0.324 -3.938 -3.647
4.858 -0.306 -0.101
Ni Bi Ag La
1 1 1 2
direct
0.000 0.000 0.000
0.500 0.500 0.500
0.000 0.000 0.500
0.000 0.500 0.000
0.500 0.000 0.000
```

Values from the calculation:
- formation energy (eV per atom) = -0.411


Density functional theory data (PBE) for a geometry-optimized BaSeIN2 structure.

```
BaSeIN2
1.0
4.546 0.000 0.000
0.000 4.546 0.000
0.000 0.000 5.611
I Ba Se N
1 1 1 2
direct
0.000 0.000 0.500
0.500 0.500 0.500
0.000 0.000 0.000
0.000 0.500 0.000
0.500 0.000 0.000
```

Values from the calculation:
- distance to the lowest polymorph of the same formula (meV per atom) = 120
- E_form (uncorrected) (eV/f.u.) = 4.72


Density functional theory data (PBE) for a geometry-optimized Ag6IF5 structure.

```
Ag6IF5
1.0
-6.358 -0.102 -0.242
3.086 -5.218 1.934
0.797 3.636 5.089
I Ag F
1 6 5
direct
0.000 0.000 0.000
0.459 0.086 0.255
0.914 0.541 0.745
0.274 0.274 0.726
0.726 0.726 0.274
0.086 0.459 0.255
0.541 0.914 0.745
0.829 0.171 0.500
0.661 0.339 0.000
0.500 0.500 0.500
0.339 0.661 0.000
0.171 0.829 0.500
```

Values from the calculation:
- E_form (uncorrected) (eV/f.u.) = -10.26


Number 1: total moment 0.00 μB per formula unit. Number 2: total moment 0.00 μB per formula unit. Number 3: total moment 0.59 μB per formula unit. Number 4: total moment 4.58 μB per formula unit. Number 5: total moment 0.00 μB per formula unit. Number 6: total moment 0.00 μB per formula unit. Number 7: total moment 1.68 μB per formula unit. Number 8: total moment 0.00 μB per formula unit.